(a)
Computed, not measured: La2Y2Tc after structural relaxation at the PBE level of DFT.

The structure belongs to space group P4/mbm (No. 127); the cell edges are 7.154, 7.154 and 5.850 Å and the angles 90.00°, 90.00° and 90.00°. The distinct sites, in fractional coordinates, are La at (0.162, 0.338, 0.000), Y at (0.171, 0.671, 0.500) and Tc at (0.000, 0.000, 0.000).

(b)
Computed, not measured: La2Y2Tc after structural relaxation at the PBE level of DFT.

The structure belongs to space group I4/mmm (No. 139); the cell edges are 4.052, 4.052 and 19.695 Å and the angles 90.00°, 90.00° and 90.00°. The distinct sites, in fractional coordinates, are La at (0.000, 0.000, 0.079), Y at (0.000, 0.500, 0.250) and Tc at (0.000, 0.000, 0.500).

Least stable structure: (b)

(a)
Computed, not measured: La3YTc after structural relaxation at the PBE level of DFT.

The structure belongs to space group C2/c (No. 15); the cell edges are 18.239, 10.591 and 6.595 Å and the angles 90.00°, 96.92° and 90.00°. The distinct sites, in fractional coordinates, are La at (0.140, 0.128, 0.148), La at (0.167, 0.214, 0.633), La at (0.172, 0.456, 0.032), Y at (0.000, 0.088, 0.750), Y at (0.000, 0.385, 0.250) and Tc at (0.069, 0.347, 0.805).

(b)
Computed, not measured: La3YTc after structural relaxation at the PBE level of DFT.

The structure belongs to space group Pm-3m (No. 221); the cell edges are 5.557, 5.557 and 5.557 Å and the angles 90.00°, 90.00° and 90.00°. The distinct sites, in fractional coordinates, are La at (0.000, 0.000, 0.500), Y at (0.500, 0.500, 0.500) and Tc at (0.000, 0.000, 0.000).

(c)
Computed, not measured: La3YTc after structural relaxation at the PBE level of DFT.

The structure belongs to space group Pm-3m (No. 221); the cell edges are 5.727, 5.727 and 5.727 Å and the angles 90.00°, 90.00° and 90.00°. The distinct sites, in fractional coordinates, are La at (0.000, 0.000, 0.500), Y at (0.000, 0.000, 0.000) and Tc at (0.500, 0.500, 0.500).

Least stable structure: (c)

(a)
Computed, not measured: La8Zn2Tc after structural relaxation at the PBE level of DFT.

The structure belongs to space group C2/m (No. 12); the cell edges are 18.340, 5.069 and 7.319 Å and the angles 90.00°, 94.55° and 90.00°. The distinct sites, in fractional coordinates, are La at (0.011, 0.000, 0.272), La at (0.094, 0.500, 0.976), La at (0.147, 0.500, 0.488), La at (0.212, 0.000, 0.815), Zn at (0.187, 0.000, 0.237) and Tc at (0.000, 0.500, 0.500).

(b)
Computed, not measured: La8Zn2Tc after structural relaxation at the PBE level of DFT.

The structure belongs to space group Immm (No. 71); the cell edges are 5.583, 7.136 and 16.548 Å and the angles 90.00°, 90.00° and 90.00°. The distinct sites, in fractional coordinates, are La at (0.000, 0.000, 0.196), La at (0.000, 0.239, 0.372), La at (0.000, 0.261, 0.000), Zn at (0.000, 0.500, 0.189) and Tc at (0.000, 0.500, 0.500).

Least stable structure: (b)

(a)
Computed, not measured: La2Zr2Tc after structural relaxation at the PBE level of DFT.

The structure belongs to space group P4/mbm (No. 127); the cell edges are 7.007, 7.007 and 5.283 Å and the angles 90.00°, 90.00° and 90.00°. The distinct sites, in fractional coordinates, are La at (0.159, 0.341, 0.000), Zr at (0.164, 0.664, 0.500) and Tc at (0.000, 0.000, 0.000).

(b)
Computed, not measured: La2Zr2Tc after structural relaxation at the PBE level of DFT.

The structure belongs to space group P4/mbm (No. 127); the cell edges are 6.897, 6.897 and 5.650 Å and the angles 90.00°, 90.00° and 90.00°. The distinct sites, in fractional coordinates, are La at (0.170, 0.330, 0.000), Zr at (0.158, 0.658, 0.500) and Tc at (0.000, 0.000, 0.500).

Least stable structure: (a)